NdZnGaCu, optimized geometry, DFT PBE-GGA; energy of formation from the pure elements = -0.294 eV/atom; crystal system = cubic; total magnetic moment = 0.0000 μB per atom; N(E_F) = 1.82 states/eV/cell; SG = No. 216; E = -3.59 eV/atom
1.0
4.7415 0.0000 0.0000
2.3708 4.1063 0.0000
2.3708 1.3688 3.8714
Ga Nd Cu Zn
1 1 1 1
direct
0.5000 0.5000 0.5000 Ga
0.0000 0.0000 0.0000 Nd
0.2500 0.2500 0.2500 Cu
0.7500 0.7500 0.7500 Zn